A plane-wave DFT calculation with PBE was carried out for RbPtNO after structural relaxation.

```
8
Lattice="3.660 -4.453 0.000 3.660 4.453 0.000 -2.501 0.000 5.101" Properties=species:S:1:pos:R:3 pbc="T T T"
O 3.847 -1.208 0.459
O 3.847 1.208 0.459
Pt 2.568 0.000 4.570
Pt 2.240 0.000 0.411
Rb 2.336 2.658 2.442
Rb 2.336 -2.658 2.442
N 0.583 0.000 0.905
N 4.017 0.000 3.613
```

Computed properties:
Raw total energy in eV per atom: -4.99